A plane-wave DFT calculation with PBE-GGA was carried out for crystalline MnCoIr2 at its relaxed geometry.

## Properties
* density of states at the Fermi level: 1.469 states/eV per atom
* calculated formation energy: 0.176 eV/atom
* total magnetization: 11.4 Bohr magnetons per cell
* uncorrected energy: -66.6 eV for the cell shown

a = 2.7874 Å, b = 4.5684 Å, c = 8.6457 Å
α = 90.00°, β = 90.00°, γ = 90.00°
Space group Cmmm (No. 65)
One atom of each set of equivalent atoms:
Mn1 0.0000 0.0000 0.0000 (multiplicity 2)
Co1 0.0000 0.0000 0.5000 (multiplicity 2)
Ir1 0.0000 0.5000 0.2490 (multiplicity 4)